No. 1
## K3Nd3HfS8 (PBE)

Data for crystalline K3Nd3HfS8 at its relaxed geometry.

Structure (CIF):
```
data_K3Nd3HfS8
_chemical_formula_sum 'K9 Nd9 Hf3 S24'
_cell_length_a 8.1638
_cell_length_b 8.1638
_cell_length_c 22.5511
_cell_angle_alpha 90.00
_cell_angle_beta 90.00
_cell_angle_gamma 120.00
_symmetry_space_group_name_H-M 'R -3 m'
_symmetry_Int_Tables_number 166
_symmetry_space_group_name_Hall '-R 3 2"'
loop_
_atom_site_label
_atom_site_type_symbol
_atom_site_fract_x
_atom_site_fract_y
_atom_site_fract_z
_atom_site_occupancy
K1 K 0.0000 0.5000 0.0000 1
Nd1 Nd 0.0000 0.5000 0.5000 1
Hf1 Hf 0.0000 0.0000 0.5000 1
S1 S 0.0000 0.0000 0.2361 1
S2 S 0.0284 0.5142 0.2311 1
```

## Properties
Formation energy from raw total energies   -1.7970 eV per atom

No. 2
## Pm2Cu3Ir (PBE)

Data for crystalline Pm2Cu3Ir at its relaxed geometry.

Structure (CIF):
```
data_Pm2Cu3Ir
_chemical_formula_sum 'Pm16 Cu24 Ir8'
_cell_length_a 7.582
_cell_length_b 8.624
_cell_length_c 14.642
_cell_angle_alpha 90.00
_cell_angle_beta 90.00
_cell_angle_gamma 90.00
_symmetry_space_group_name_H-M 'F m m m'
_symmetry_Int_Tables_number 69
_symmetry_space_group_name_Hall '-F 2 2'
loop_
_atom_site_label
_atom_site_type_symbol
_atom_site_fract_x
_atom_site_fract_y
_atom_site_fract_z
_atom_site_occupancy
Pm1 Pm 0.243 0.000 0.000 1
Pm2 Pm 0.250 0.250 0.250 1
Cu1 Cu 0.000 0.000 0.335 1
Cu2 Cu 0.000 0.243 0.418 1
Ir1 Ir 0.000 0.000 0.162 1
```

## Properties
Energy of formation from the pure elements   -2.0 eV/f.u.

No. 3
## RbIrF4 (PBE)

Data for crystalline RbIrF4 at its relaxed geometry.

Structure (CIF):
```
data_RbIrF4
_chemical_formula_sum 'Rb2 Ir2 F8'
_cell_length_a 6.538
_cell_length_b 6.538
_cell_length_c 7.211
_cell_angle_alpha 90.00
_cell_angle_beta 90.00
_cell_angle_gamma 90.00
_symmetry_space_group_name_H-M 'I -4 m 2'
_symmetry_Int_Tables_number 119
_symmetry_space_group_name_Hall 'I -4 -2'
loop_
_atom_site_label
_atom_site_type_symbol
_atom_site_fract_x
_atom_site_fract_y
_atom_site_fract_z
_atom_site_occupancy
Rb1 Rb 0.000 0.000 0.000 1
Ir1 Ir 0.000 0.500 0.750 1
F1 F 0.208 0.292 0.750 1
```

## Properties
Formation energy from raw total energies   -1.7381 eV per atom

No. 4
## La15Er2Mg2 (PBE)

Data for crystalline La15Er2Mg2 at its relaxed geometry.

Structure (CIF):
```
data_La15Er2Mg2
_chemical_formula_sum 'La45 Er6 Mg6'
_cell_length_a 11.0969
_cell_length_b 11.0969
_cell_length_c 18.6153
_cell_angle_alpha 90.00
_cell_angle_beta 90.00
_cell_angle_gamma 120.00
_symmetry_space_group_name_H-M 'R -3 m'
_symmetry_Int_Tables_number 166
_symmetry_space_group_name_Hall '-R 3 2"'
loop_
_atom_site_label
_atom_site_type_symbol
_atom_site_fract_x
_atom_site_fract_y
_atom_site_fract_z
_atom_site_occupancy
La1 La 0.0000 0.2952 0.0000 1
La2 La 0.0000 0.5000 0.5000 1
La3 La 0.0471 0.5236 0.1267 1
Er1 Er 0.0000 0.0000 0.2972 1
Mg1 Mg 0.0000 0.0000 0.0909 1
```

## Properties
Energy of formation from the pure elements   3.4 eV/f.u.

No. 5
## HfGeAu (PBE)

Data for crystalline HfGeAu at its relaxed geometry.

Structure (CIF):
```
data_HfGeAu
_chemical_formula_sum 'Hf6 Ge6 Au6'
_cell_length_a 4.7042
_cell_length_b 4.7042
_cell_length_c 20.2765
_cell_angle_alpha 90.00
_cell_angle_beta 90.00
_cell_angle_gamma 120.00
_symmetry_space_group_name_H-M 'R -3 m'
_symmetry_Int_Tables_number 166
_symmetry_space_group_name_Hall '-R 3 2"'
loop_
_atom_site_label
_atom_site_type_symbol
_atom_site_fract_x
_atom_site_fract_y
_atom_site_fract_z
_atom_site_occupancy
Hf1 Hf 0.0000 0.0000 0.2411 1
Ge1 Ge 0.0000 0.0000 0.1074 1
Au1 Au 0.0000 0.0000 0.3829 1
```

## Properties
Energy of formation from the pure elements   -0.5 eV/f.u.

No. 6
## Al4BiSe7 (PBE)

Data for crystalline Al4BiSe7 at its relaxed geometry.

Structure (CIF):
```
data_Al4BiSe7
_chemical_formula_sum 'Al8 Bi2 Se14'
_cell_length_a 15.671
_cell_length_b 6.758
_cell_length_c 6.379
_cell_angle_alpha 90.00
_cell_angle_beta 90.00
_cell_angle_gamma 90.00
_symmetry_space_group_name_H-M 'P m n 21'
_symmetry_Int_Tables_number 31
loop_
_symmetry_equiv_pos_as_xyz
'x,y,z'
'-x+1/2,-y,z+1/2'
'-x,y,z'
'x+1/2,-y,z+1/2'
loop_
_atom_site_label
_atom_site_type_symbol
_atom_site_fract_x
_atom_site_fract_y
_atom_site_fract_z
_atom_site_occupancy
Al1 Al 0.128 0.158 0.000 1
Al2 Al 0.248 0.680 0.982 1
Bi1 Bi 0.000 0.502 0.525 1
Se1 Se 0.000 0.357 0.923 1
Se2 Se 0.119 0.168 0.380 1
Se3 Se 0.120 0.831 0.868 1
Se4 Se 0.246 0.667 0.370 1
```

## Properties
Formation energy from raw total energies   -0.6642 eV per atom

No. 7
## HoPaSiAg (PBE)

Data for crystalline HoPaSiAg at its relaxed geometry.

Structure (CIF):
```
data_HoPaSiAg
_chemical_formula_sum 'Ho4 Pa4 Si4 Ag4'
_cell_length_a 7.116
_cell_length_b 7.116
_cell_length_c 7.116
_cell_angle_alpha 90.00
_cell_angle_beta 90.00
_cell_angle_gamma 90.00
_symmetry_space_group_name_H-M 'F -4 3 m'
_symmetry_Int_Tables_number 216
_symmetry_space_group_name_Hall 'F -4 2 3'
loop_
_atom_site_label
_atom_site_type_symbol
_atom_site_fract_x
_atom_site_fract_y
_atom_site_fract_z
_atom_site_occupancy
Ho1 Ho 0.000 0.000 0.000 1
Pa1 Pa 0.000 0.000 0.500 1
Si1 Si 0.250 0.250 0.750 1
Ag1 Ag 0.250 0.250 0.250 1
```

## Properties
Formation energy from raw total energies   -0.1081 eV per atom

No. 8
## Tl2Hg4Bi2Pb3 (PBE)

Data for crystalline Tl2Hg4Bi2Pb3 at its relaxed geometry.

Structure (CIF):
```
data_Tl2Hg4Bi2Pb3
_chemical_formula_sum 'Tl2 Hg4 Bi2 Pb3'
_cell_length_a 5.3465
_cell_length_b 5.3465
_cell_length_c 13.9674
_cell_angle_alpha 90.00
_cell_angle_beta 90.00
_cell_angle_gamma 120.00
_symmetry_space_group_name_H-M 'P -3 m 1'
_symmetry_Int_Tables_number 164
_symmetry_space_group_name_Hall '-P 3 2"'
loop_
_atom_site_label
_atom_site_type_symbol
_atom_site_fract_x
_atom_site_fract_y
_atom_site_fract_z
_atom_site_occupancy
Tl1 Tl 0.3333 0.6667 0.1274 1
Hg1 Hg 0.3333 0.6667 0.4136 1
Hg2 Hg 0.3333 0.6667 0.9022 1
Bi1 Bi 0.3333 0.6667 0.6604 1
Pb1 Pb 0.0000 0.0000 0.2431 1
Pb2 Pb 0.0000 0.0000 0.5000 1
```

## Properties
Energy of formation from the pure elements   0.5 eV/f.u.

No. 9
## Ba7Tl2Pt2 (PBE)

Data for crystalline Ba7Tl2Pt2 at its relaxed geometry.

Structure (CIF):
```
data_Ba7Tl2Pt2
_chemical_formula_sum 'Ba14 Tl4 Pt4'
_cell_length_a 9.266
_cell_length_b 12.727
_cell_length_c 8.106
_cell_angle_alpha 90.00
_cell_angle_beta 90.00
_cell_angle_gamma 90.00
_symmetry_space_group_name_H-M 'C m m m'
_symmetry_Int_Tables_number 65
_symmetry_space_group_name_Hall '-C 2 2'
loop_
_atom_site_label
_atom_site_type_symbol
_atom_site_fract_x
_atom_site_fract_y
_atom_site_fract_z
_atom_site_occupancy
Ba1 Ba 0.000 0.000 0.000 1
Ba2 Ba 0.000 0.500 0.243 1
Ba3 Ba 0.250 0.250 0.254 1
Tl1 Tl 0.166 0.000 0.500 1
Pt1 Pt 0.000 0.293 0.000 1
```

## Properties
Energy of formation from the pure elements   -4.8 eV/f.u.
Offset from the most stable computed form   0.0 meV per atom

No. 10
## La3SmHg4 (PBE)

Data for crystalline La3SmHg4 at its relaxed geometry.

Structure (CIF):
```
data_La3SmHg4
_chemical_formula_sum 'La3 Sm1 Hg4'
_cell_length_a 3.874
_cell_length_b 3.874
_cell_length_c 15.586
_cell_angle_alpha 90.00
_cell_angle_beta 90.00
_cell_angle_gamma 90.00
_symmetry_space_group_name_H-M 'P 4/m m m'
_symmetry_Int_Tables_number 123
_symmetry_space_group_name_Hall '-P 4 2'
loop_
_atom_site_label
_atom_site_type_symbol
_atom_site_fract_x
_atom_site_fract_y
_atom_site_fract_z
_atom_site_occupancy
La1 La 0.000 0.000 0.000 1
La2 La 0.000 0.000 0.254 1
Sm1 Sm 0.000 0.000 0.500 1
Hg1 Hg 0.500 0.500 0.126 1
Hg2 Hg 0.500 0.500 0.384 1
```

## Properties
Energy of formation from the pure elements   -3.9 eV/f.u.

No. 11
## HfThZrZn (PBE)

Data for crystalline HfThZrZn at its relaxed geometry.

Structure (CIF):
```
data_HfThZrZn
_chemical_formula_sum 'Hf4 Th4 Zr4 Zn4'
_cell_length_a 7.165
_cell_length_b 7.165
_cell_length_c 7.165
_cell_angle_alpha 90.00
_cell_angle_beta 90.00
_cell_angle_gamma 90.00
_symmetry_space_group_name_H-M 'F -4 3 m'
_symmetry_Int_Tables_number 216
_symmetry_space_group_name_Hall 'F -4 2 3'
loop_
_atom_site_label
_atom_site_type_symbol
_atom_site_fract_x
_atom_site_fract_y
_atom_site_fract_z
_atom_site_occupancy
Hf1 Hf 0.000 0.000 0.000 1
Th1 Th 0.250 0.250 0.750 1
Zr1 Zr 0.250 0.250 0.250 1
Zn1 Zn 0.000 0.000 0.500 1
```

## Properties
Energy of formation from the pure elements   0.1 eV/f.u.